Below is RbLiIn3 at its PBEsol-relaxed geometry, with properties calculated at the meta-GGA SCAN level.

Calculated values
Calculated total energy in Ry/atom: -1.815
Energy relative to the elements in eV/f.u.: -0.17
Crystal system: cubic

Structure (CIF):
```
data_RbLiIn3
_cell_length_a 5.248
_cell_length_b 5.248
_cell_length_c 5.248
_cell_angle_alpha 90.00
_cell_angle_beta 90.00
_cell_angle_gamma 90.00
_symmetry_space_group_name_H-M 'P m -3 m'
_symmetry_Int_Tables_number 221
_symmetry_space_group_name_Hall '-P 4 2 3'
loop_
_atom_site_label
_atom_site_type_symbol
_atom_site_fract_x
_atom_site_fract_y
_atom_site_fract_z
Rb1 Rb 0.000 0.000 0.000
Li1 Li 0.500 0.500 0.500
In1 In 0.000 0.500 0.500
```

***

Below is ScTc2Os at its PBEsol-relaxed geometry, with properties calculated at the meta-GGA SCAN level.

Calculated values
Calculated total energy in Ry/atom: -2.866
Energy relative to the elements in eV/f.u.: 0.27
Crystal system: tetragonal
ΔE to the lowest computed polymorph in kJ/mol of formula units: 83.6

Structure (CIF):
```
data_ScTc2Os
_cell_length_a 3.758
_cell_length_b 3.758
_cell_length_c 8.579
_cell_angle_alpha 90.00
_cell_angle_beta 90.00
_cell_angle_gamma 90.00
_symmetry_space_group_name_H-M 'I 4/m m m'
_symmetry_Int_Tables_number 139
_symmetry_space_group_name_Hall '-I 4 2'
loop_
_atom_site_label
_atom_site_type_symbol
_atom_site_fract_x
_atom_site_fract_y
_atom_site_fract_z
Sc1 Sc 0.000 0.000 0.000
Tc1 Tc 0.000 0.500 0.250
Os1 Os 0.000 0.000 0.500
```

***

Below is ScTiNiMo2 at its PBEsol-relaxed geometry, with properties calculated at the meta-GGA SCAN level.

Calculated values
Calculated total energy in Ry/atom: -1.597
Energy relative to the elements in eV/f.u.: 7.54
Crystal system: tetragonal

Structure (CIF):
```
data_ScTiNiMo2
_cell_length_a 4.432
_cell_length_b 4.432
_cell_length_c 4.750
_cell_angle_alpha 90.00
_cell_angle_beta 90.00
_cell_angle_gamma 90.00
_symmetry_space_group_name_H-M 'P 4/m m m'
_symmetry_Int_Tables_number 123
_symmetry_space_group_name_Hall '-P 4 2'
loop_
_atom_site_label
_atom_site_type_symbol
_atom_site_fract_x
_atom_site_fract_y
_atom_site_fract_z
Sc1 Sc 0.000 0.000 0.000
Ti1 Ti 0.000 0.000 0.500
Ni1 Ni 0.500 0.500 0.000
Mo1 Mo 0.000 0.500 0.500
```

***

Below is SrTaAu2 at its PBEsol-relaxed geometry, with properties calculated at the meta-GGA SCAN level.

Calculated values
Calculated total energy in Ry/atom: -4.191
Energy relative to the elements in eV/f.u.: -0.93
Crystal system: tetragonal

Structure (CIF):
```
data_SrTaAu2
_cell_length_a 3.311
_cell_length_b 3.311
_cell_length_c 7.628
_cell_angle_alpha 90.00
_cell_angle_beta 90.00
_cell_angle_gamma 90.00
_symmetry_space_group_name_H-M 'P 4/m m m'
_symmetry_Int_Tables_number 123
_symmetry_space_group_name_Hall '-P 4 2'
loop_
_atom_site_label
_atom_site_type_symbol
_atom_site_fract_x
_atom_site_fract_y
_atom_site_fract_z
Sr1 Sr 0.000 0.000 0.000
Ta1 Ta 0.000 0.000 0.500
Au1 Au 0.500 0.500 0.297
```